First-principles (PBE-GGA) data for crystalline Cs2CuTeI6 at its relaxed geometry, as listed in the Alexandria database.

Properties
The energy is -50.1 eV for the cell shown. For the uncorrected formation energy, the calculation gives -0.680 eV per atom. The density of states at the Fermi level comes out at 0.330 states/eV/atom. The value obtained for the energy above the lowest structure with this stoichiometry is 0.000 eV/atom.

Lattice parameters (Å, degrees): 8.320 8.320 12.345 90.00 90.00 90.00
Space group I4/mmm (No. 139)
Inequivalent atoms, fractional coordinates:
Cs 0.000 0.500 0.250 x4
Cu 0.000 0.000 0.000 x2
Te 0.000 0.000 0.500 x2
I 0.000 0.000 0.258 x4
I 0.231 0.231 0.000 x8